The following is a DFT calculation (PBE) of HfTaNO after structural relaxation.

Values from the calculation:
For the total magnetization, the calculation gives 0.01 μB per cell. The value obtained for the relative energy among the computed polymorphs is 0.000 eV per atom. The total energy is -0.762 Ry/atom.

Unit cell a=5.620 b=3.204 c=5.906 alpha=90.00 beta=90.00 gamma=90.00
Fractional coordinates of all 8 atoms:
Hf1 0.552 0.000 0.329
Hf2 0.052 0.000 0.671
N1 0.919 0.000 0.335
N2 0.419 0.000 0.665
O1 0.320 0.500 0.233
O2 0.820 0.500 0.767
Ta1 0.962 0.500 0.103
Ta2 0.462 0.500 0.897